# GGA-PBE BePt2, optimized geometry
data_BePt2
_symmetry_space_group_name_H-M 'I 41/a m d'
_symmetry_Int_Tables_number 141
_cell_length_a 3.781
_cell_length_b 3.781
_cell_length_c 23.150
_cell_angle_alpha 90.00
_cell_angle_beta 90.00
_cell_angle_gamma 90.00
loop_
_symmetry_equiv_pos_as_xyz
'x,y,z'
'-x,-y,-z'
'-y+1/4,x+3/4,z+1/4'
'y+1/4,-x+3/4,-z+1/4'
'-x+1/2,-y,z+1/2'
'x+1/2,y,-z+1/2'
'y+1/4,-x+1/4,z+3/4'
'-y+1/4,x+1/4,-z+3/4'
'x,-y,-z'
'-x,y,z'
'-y+1/4,-x+1/4,-z+3/4'
'y+1/4,x+1/4,z+3/4'
'-x+1/2,y,-z+1/2'
'x+1/2,-y,z+1/2'
'y+1/4,x+3/4,-z+1/4'
'-y+1/4,-x+3/4,z+1/4'
'x+1/2,y+1/2,z+1/2'
'-x+1/2,-y+1/2,-z+1/2'
'-y+3/4,x+1/4,z+3/4'
'y+3/4,-x+1/4,-z+3/4'
'-x,-y+1/2,z'
'x,y+1/2,-z'
'y+3/4,-x+3/4,z+1/4'
'-y+3/4,x+3/4,-z+1/4'
'x+1/2,-y+1/2,-z+1/2'
'-x+1/2,y+1/2,z+1/2'
'-y+3/4,-x+3/4,-z+1/4'
'y+3/4,x+3/4,z+1/4'
'-x,y+1/2,-z'
'x,-y+1/2,z'
'y+3/4,x+1/4,-z+3/4'
'-y+3/4,-x+1/4,z+3/4'
loop_
_atom_site_label
_atom_site_type_symbol
_atom_site_fract_x
_atom_site_fract_y
_atom_site_fract_z
_atom_site_occupancy
Be1 Be 0.000 0.250 0.298 1
Pt1 Pt 0.000 0.250 0.123 1
Pt2 Pt 0.000 0.250 0.789 1
# Crystal system: tetragonal
# Density in g cm⁻³: 16.03
# ΔE_f in eV/atom: -0.338
# Fermi-level density of states in states/eV per cell: 10.9
# Volume in Å³ per cell: 330.9

=====

# GGA-PBE LiCaOs2, optimized geometry
data_LiCaOs2
_symmetry_space_group_name_H-M 'P 1 2/m 1'
_symmetry_Int_Tables_number 10
_symmetry_space_group_name_Hall '-P 2y'
_cell_length_a 4.500
_cell_length_b 2.971
_cell_length_c 4.834
_cell_angle_alpha 90.00
_cell_angle_beta 91.12
_cell_angle_gamma 90.00
loop_
_atom_site_label
_atom_site_type_symbol
_atom_site_fract_x
_atom_site_fract_y
_atom_site_fract_z
_atom_site_occupancy
Li1 Li 0.000 0.000 0.000 1
Ca1 Ca 0.500 0.500 0.000 1
Os1 Os 0.000 0.500 0.500 1
Os2 Os 0.500 0.000 0.500 1
# Crystal system: monoclinic
# Density in g cm⁻³: 10.99
# ΔE_f in eV/atom: 0.422
# Fermi-level density of states in states/eV per cell: 3.1
# Volume in Å³ per cell: 64.6
# Relative energy among the computed polymorphs in meV per atom: 106.7

=====

# GGA-PBE K2BeHgSe, optimized geometry
data_K2BeHgSe
_symmetry_space_group_name_H-M 'P 4/m m m'
_symmetry_Int_Tables_number 123
_symmetry_space_group_name_Hall '-P 4 2'
_cell_length_a 5.878
_cell_length_b 5.878
_cell_length_c 4.612
_cell_angle_alpha 90.00
_cell_angle_beta 90.00
_cell_angle_gamma 90.00
loop_
_atom_site_label
_atom_site_type_symbol
_atom_site_fract_x
_atom_site_fract_y
_atom_site_fract_z
_atom_site_occupancy
K1 K 0.000 0.500 0.000 1
Be1 Be 0.000 0.000 0.000 1
Hg1 Hg 0.000 0.000 0.500 1
Se1 Se 0.500 0.500 0.500 1
# Crystal system: tetragonal
# Density in g cm⁻³: 3.82
# Fermi-level density of states in states/eV per cell: 1.2
# Volume in Å³ per cell: 159.3
# Formation energy without anion corrections in eV per atom: -0.0056

=====

# GGA-PBE InPd6Pt23, optimized geometry
data_InPd6Pt23
_symmetry_space_group_name_H-M 'I 4/m m m'
_symmetry_Int_Tables_number 139
_symmetry_space_group_name_Hall '-I 4 2'
_cell_length_a 7.882
_cell_length_b 7.882
_cell_length_c 15.704
_cell_angle_alpha 90.00
_cell_angle_beta 90.00
_cell_angle_gamma 90.00
loop_
_atom_site_label
_atom_site_type_symbol
_atom_site_fract_x
_atom_site_fract_y
_atom_site_fract_z
_atom_site_occupancy
In1 In 0.000 0.000 0.000 1
Pd1 Pd 0.000 0.000 0.250 1
Pd2 Pd 0.249 0.249 0.000 1
Pt1 Pt 0.000 0.000 0.500 1
Pt2 Pt 0.000 0.253 0.372 1
Pt3 Pt 0.000 0.257 0.130 1
Pt4 Pt 0.000 0.500 0.000 1
Pt5 Pt 0.250 0.250 0.250 1
# Crystal system: tetragonal
# Density in g cm⁻³: 17.84
# ΔE_f in eV/atom: -0.043
# Fermi-level density of states in states/eV per cell: 98.6
# Volume in Å³ per cell: 975.6

=====

Look up the density of the first one.
16.03 g cm⁻³

=====

Which value of density does entry 3 give?
3.82 g cm⁻³

=====

Among the records above, which one has the highest density?
InPd6Pt23

=====

Which of these has the highest volume?
InPd6Pt23